Material: Na3BiF6
Method: DFT, PBE-GGA
State: optimized geometry

Properties
The calculation puts the raw formation energy at -2.535 eV per atom. As for the crystal system: triclinic. Its total energy is -4.44 eV per atom.

Cell and atoms, written as CIF:
```
data_Na3BiF6
_space_group_name_H-M_alt 'P 1'
_space_group_IT_number 1
_cell_length_a 6.5620
_cell_length_b 6.8069
_cell_length_c 6.8027
_cell_angle_alpha 61.62
_cell_angle_beta 125.33
_cell_angle_gamma 91.95
loop_
_space_group_symop_operation_xyz
'x,y,z'
loop_
_atom_site_label
_atom_site_fract_x
_atom_site_fract_y
_atom_site_fract_z
F1 0.2262 0.7796 0.4883
F2 0.7846 0.2420 0.0262
F3 0.2154 0.7580 0.9738
F4 0.7708 0.7405 0.9890
F5 0.7738 0.2204 0.5117
F6 0.2292 0.2595 0.0110
Bi1 0.0000 0.0000 0.0000
Na1 0.0000 0.0000 0.5000
Na2 0.5000 0.5000 0.0000
Na3 0.0000 0.5000 0.0000
```

Material: NaBiF2
Method: DFT, PBE-GGA
State: optimized geometry

Properties
The calculation puts the raw formation energy at -1.600 eV per atom. As for the crystal system: trigonal. Its total energy is -3.84 eV per atom.

Cell and atoms, written as CIF:
```
data_NaBiF2
_space_group_name_H-M_alt 'P 1'
_space_group_IT_number 1
_cell_length_a 8.3124
_cell_length_b 8.3124
_cell_length_c 8.3124
_cell_angle_alpha 23.51
_cell_angle_beta 23.51
_cell_angle_gamma 23.51
loop_
_space_group_symop_operation_xyz
'x,y,z'
loop_
_atom_site_label
_atom_site_fract_x
_atom_site_fract_y
_atom_site_fract_z
Bi1 0.5000 0.5000 0.5000
F1 0.9148 0.9148 0.9148
F2 0.0852 0.0852 0.0852
Na1 0.0000 0.0000 0.0000
```

Material: Na6Bi2F
Method: DFT, PBE-GGA
State: optimized geometry

Properties
The calculation puts the raw formation energy at -0.823 eV per atom. As for the crystal system: tetragonal. Its total energy is -2.77 eV per atom.

Cell and atoms, written as CIF:
```
data_Na6Bi2F
_space_group_name_H-M_alt 'P 1'
_space_group_IT_number 1
_cell_length_a 7.1324
_cell_length_b 7.1328
_cell_length_c 9.2262
_cell_angle_alpha 90.00
_cell_angle_beta 90.02
_cell_angle_gamma 90.00
loop_
_space_group_symop_operation_xyz
'x,y,z'
loop_
_atom_site_label
_atom_site_fract_x
_atom_site_fract_y
_atom_site_fract_z
Na1 0.5006 0.5000 0.2472
Na2 0.2667 0.2664 0.0001
Na3 0.0006 0.0000 0.7472
Na4 0.9994 0.0000 0.2528
Na5 0.2666 0.7334 0.0001
Na6 0.7666 0.7666 0.5001
Na7 0.7667 0.2336 0.5001
Na8 0.7334 0.2666 0.9999
Na9 0.2334 0.2334 0.4999
Na10 0.2333 0.7664 0.4999
Na11 0.4994 0.5000 0.7528
Na12 0.7333 0.7336 0.9999
Bi1 0.9999 0.5000 0.7501
Bi2 0.5001 0.0000 0.7499
Bi3 0.4999 0.0000 0.2501
Bi4 0.0001 0.5000 0.2499
F1 0.0000 0.0000 0.5000
F2 0.5000 0.5000 0.0000
```

Material: Na3Bi2F8
Method: DFT, PBE-GGA
State: optimized geometry

Properties
The calculation puts the raw formation energy at -2.391 eV per atom. As for the crystal system: monoclinic. Its total energy is -4.44 eV per atom.

Cell and atoms, written as CIF:
```
data_Na3Bi2F8
_space_group_name_H-M_alt 'P 1'
_space_group_IT_number 1
_cell_length_a 5.6300
_cell_length_b 6.4535
_cell_length_c 7.0530
_cell_angle_alpha 117.23
_cell_angle_beta 107.92
_cell_angle_gamma 90.00
loop_
_space_group_symop_operation_xyz
'x,y,z'
loop_
_atom_site_label
_atom_site_fract_x
_atom_site_fract_y
_atom_site_fract_z
F1 0.9345 0.1107 0.2214
F2 0.4087 0.3581 0.2499
F3 0.4087 0.8918 0.2499
F4 0.5913 0.6419 0.7501
F5 0.9018 0.6128 0.2257
F6 0.0655 0.8893 0.7786
F7 0.0982 0.3872 0.7743
F8 0.5913 0.1082 0.7501
Na1 0.0000 0.7329 0.0000
Na2 0.5000 0.0000 0.0000
Na3 0.0000 0.2671 0.0000
Bi1 0.2976 0.2629 0.5259
Bi2 0.7024 0.7371 0.4741
```

Material: Na2BiF6
Method: DFT, PBE-GGA
State: optimized geometry

Properties
The calculation puts the raw formation energy at -2.435 eV per atom. As for the crystal system: tetragonal. Its total energy is -4.41 eV per atom.

Cell and atoms, written as CIF:
```
data_Na2BiF6
_space_group_name_H-M_alt 'P 1'
_space_group_IT_number 1
_cell_length_a 5.2684
_cell_length_b 5.2684
_cell_length_c 10.6431
_cell_angle_alpha 90.00
_cell_angle_beta 90.00
_cell_angle_gamma 90.00
loop_
_space_group_symop_operation_xyz
'x,y,z'
loop_
_atom_site_label
_atom_site_fract_x
_atom_site_fract_y
_atom_site_fract_z
F1 0.6907 0.6907 0.8458
F2 0.8093 0.1907 0.6542
F3 0.1907 0.8093 0.3458
F4 0.7084 0.7084 0.5000
F5 0.8093 0.1907 0.3458
F6 0.2916 0.2916 0.5000
F7 0.1907 0.8093 0.6542
F8 0.7916 0.2084 0.0000
F9 0.3093 0.3093 0.1542
F10 0.2084 0.7916 0.0000
F11 0.3093 0.3093 0.8458
F12 0.6907 0.6907 0.1542
Bi1 0.0000 0.0000 0.5000
Bi2 0.5000 0.5000 0.0000
Na1 0.0000 0.0000 0.8350
Na2 0.0000 0.0000 0.1650
Na3 0.5000 0.5000 0.6650
Na4 0.5000 0.5000 0.3350
```

Material: Na6BiF12
Method: DFT, PBE-GGA
State: optimized geometry

Properties
The calculation puts the raw formation energy at -2.313 eV per atom. As for the crystal system: trigonal. Its total energy is -4.12 eV per atom.

Cell and atoms, written as CIF:
```
data_Na6BiF12
_space_group_name_H-M_alt 'P 1'
_space_group_IT_number 1
_cell_length_a 6.7546
_cell_length_b 6.7546
_cell_length_c 6.7546
_cell_angle_alpha 98.67
_cell_angle_beta 98.67
_cell_angle_gamma 98.67
loop_
_space_group_symop_operation_xyz
'x,y,z'
loop_
_atom_site_label
_atom_site_fract_x
_atom_site_fract_y
_atom_site_fract_z
Bi1 0.0000 0.0000 0.0000
F1 0.1718 0.4096 0.6019
F2 0.8989 0.0369 0.7077
F3 0.6019 0.1718 0.4096
F4 0.9631 0.2923 0.1011
F5 0.2923 0.1011 0.9631
F6 0.7077 0.8989 0.0369
F7 0.0369 0.7077 0.8989
F8 0.3981 0.8282 0.5904
F9 0.5904 0.3981 0.8282
F10 0.8282 0.5904 0.3981
F11 0.1011 0.9631 0.2923
F12 0.4096 0.6019 0.1718
Na1 0.3540 0.1558 0.6037
Na2 0.6460 0.8442 0.3963
Na3 0.3963 0.6460 0.8442
Na4 0.6037 0.3540 0.1558
Na5 0.1558 0.6037 0.3540
Na6 0.8442 0.3963 0.6460
```

Q: What is the formula in the third record?
A: Na6Bi2F